Entry 1:
Entry from Alexandria: Mg2ScZn2 after structural relaxation (PBE).

Values from the calculation:
Total DFT energy (no corrections) (eV per cell): -25.2
Symmetry: Pmmn, No. 59
Formation energy (meV/atom): -110
Excess energy over the best structure of this formula in the dataset (eV/atom): 0.000

a = 4.6328 Å, b = 4.6560 Å, c = 9.5635 Å
α = 89.98°, β = 90.00°, γ = 90.00°
Element x y z (fractional)
Mg 0.7500 0.2503 0.0063
Mg 0.2500 0.7497 0.6717
Mg 0.2500 0.7497 0.9937
Mg 0.7500 0.2503 0.3283
Sc 0.7500 0.2498 0.6743
Sc 0.2500 0.7502 0.3257
Zn 0.2500 0.2500 0.5018
Zn 0.7500 0.7504 0.1645
Zn 0.2500 0.2496 0.8355
Zn 0.7500 0.7500 0.4982

Entry 2:
Entry from Alexandria: MgScZn after structural relaxation (PBE).

Values from the calculation:
Total DFT energy (no corrections) (eV per cell): -9.7
Symmetry: I4mm, No. 107
Formation energy (meV/atom): -166

a = 6.4754 Å, b = 6.4747 Å, c = 3.1468 Å
α = 75.95°, β = 75.92°, γ = 28.13°
Element x y z (fractional)
Sc 0.3177 0.3177 0.6823
Zn 0.6679 0.6679 0.3321
Mg 0.0144 0.0144 0.9856

Entry 3:
Entry from Alexandria: MgScZn3 after structural relaxation (PBE).

Values from the calculation:
Total DFT energy (no corrections) (eV per cell): -9.4
Symmetry: Pm-3m, No. 221
Formation energy (meV/atom): 477
Excess energy over the best structure of this formula in the dataset (eV/atom): 0.732

a = 4.7602 Å, b = 4.7602 Å, c = 4.7602 Å
α = 90.00°, β = 90.00°, γ = 90.00°
Element x y z (fractional)
Sc 0.5000 0.5000 0.5000
Zn 0.0000 0.5000 0.0000
Zn 0.0000 0.0000 0.5000
Zn 0.5000 0.0000 0.0000
Mg 0.0000 0.0000 0.0000

Entry 4:
Entry from Alexandria: Mg3Sc3Zn2 after structural relaxation (PBE).

Values from the calculation:
Total DFT energy (no corrections) (eV per cell): -27.6
Symmetry: R3m, No. 160
Formation energy (meV/atom): -155

a = 4.8555 Å, b = 4.8555 Å, c = 8.4720 Å
α = 73.35°, β = 73.35°, γ = 60.00°
Element x y z (fractional)
Mg 0.2506 0.2506 0.2482
Mg 0.7490 0.7490 0.7529
Mg 0.6244 0.6244 0.1269
Sc 0.1260 0.1260 0.6219
Sc 0.8749 0.8749 0.3753
Sc 0.3745 0.3745 0.8765
Zn 0.0022 0.0022 0.9935
Zn 0.4984 0.4984 0.5048

Entry 5:
Entry from Alexandria: MgScZn after structural relaxation (PBE).

Values from the calculation:
Total DFT energy (no corrections) (eV per cell): -9.3
Symmetry: P3m1, No. 156
Formation energy (meV/atom): -36

a = 3.2265 Å, b = 3.2265 Å, c = 7.0691 Å
α = 90.00°, β = 90.00°, γ = 120.00°
Element x y z (fractional)
Mg 0.0000 0.0000 0.9799
Sc 0.3333 0.6667 0.3536
Zn 0.6667 0.3333 0.6665

Entry 6:
Entry from Alexandria: MgSc2Zn after structural relaxation (PBE).

Values from the calculation:
Total DFT energy (no corrections) (eV per cell): -16.2
Symmetry: P4/mmm, No. 123
Formation energy (meV/atom): -176

a = 4.8201 Å, b = 4.8204 Å, c = 3.5677 Å
α = 90.00°, β = 90.00°, γ = 89.95°
Element x y z (fractional)
Sc 0.0000 0.0000 0.0000
Sc 0.5000 0.5000 0.0000
Zn 0.5000 0.0000 0.5000
Mg 0.0000 0.5000 0.5000